Entry 1:
! LiSc, relaxed, DFT PBE; values from VASP
! E above lowest polymorph	114	meV per atom
! calculated formation energy	0.206	eV per atom
! D(E_F)	0.927	states/eV per atom
&SYSTEM
  ibrav = 0, nat = 2, ntyp = 2
/
ATOMIC_SPECIES
Li 6.94 Li.upf
Sc 44.96 Sc.upf
ATOMIC_POSITIONS crystal
Li 0.0000 0.0000 0.0000
Sc 0.5000 0.5000 0.5000
CELL_PARAMETERS angstrom
2.5934 -1.6471 0.0000
2.5934 1.6471 0.0000
-1.1692 0.0000 5.2234

---

Entry 2:
! Ni2PRh2, relaxed, DFT PBE; values from VASP
! E above lowest polymorph	28	meV per atom
! calculated formation energy	-0.009	eV per atom
! D(E_F)	1.499	states/eV per atom
&SYSTEM
  ibrav = 0, nat = 10, ntyp = 3
/
ATOMIC_SPECIES
Ni 58.69 Ni.upf
P 30.97 P.upf
Rh 102.91 Rh.upf
ATOMIC_POSITIONS crystal
Ni 0.1459 0.3541 0.0000
Ni 0.3541 0.8541 0.0000
Ni 0.6459 0.1459 0.0000
Ni 0.8541 0.6459 0.0000
P 0.0000 0.0000 0.0000
P 0.5000 0.5000 0.0000
Rh 0.1708 0.6708 0.5000
Rh 0.3292 0.1708 0.5000
Rh 0.6708 0.8292 0.5000
Rh 0.8292 0.3292 0.5000
CELL_PARAMETERS angstrom
5.5960 0.0000 0.0000
0.0000 5.5960 0.0000
0.0000 0.0000 4.1317

---

Entry 3:
! BaCa2HPb, relaxed, DFT PBE; values from VASP
! E	-0.1098	hartree per atom
! D(E_F)	0.318	states/eV per atom
&SYSTEM
  ibrav = 0, nat = 5, ntyp = 4
/
ATOMIC_SPECIES
Ba 137.33 Ba.upf
Ca 40.08 Ca.upf
H 1.01 H.upf
Pb 207.20 Pb.upf
ATOMIC_POSITIONS crystal
Ba 0.0000 0.0000 0.0000
Ca 0.0000 0.5000 0.5000
Ca 0.5000 0.0000 0.5000
H 0.0000 0.0000 0.5000
Pb 0.5000 0.5000 0.0000
CELL_PARAMETERS angstrom
5.2516 0.0000 0.0000
0.0000 5.2516 0.0000
0.0000 0.0000 5.2316

---

Entry 4:
! AcGdAgRu, relaxed, DFT PBE; values from VASP
! calculated formation energy	-0.156	eV per atom
! D(E_F)	0.714	states/eV per atom
&SYSTEM
  ibrav = 0, nat = 4, ntyp = 4
/
ATOMIC_SPECIES
Ac 227.00 Ac.upf
Gd 157.25 Gd.upf
Ag 107.87 Ag.upf
Ru 101.07 Ru.upf
ATOMIC_POSITIONS crystal
Ac 0.0000 0.0000 0.0000
Gd 0.5000 0.5000 0.5000
Ag 0.7500 0.7500 0.7500
Ru 0.2500 0.2500 0.2500
CELL_PARAMETERS angstrom
0.0000 3.6777 3.6777
3.6777 0.0000 3.6777
3.6777 3.6777 0.0000

---

Entry 5:
! InWAu2, relaxed, DFT PBE; values from VASP
! calculated formation energy	0.732	eV per atom
! D(E_F)	1.037	states/eV per atom
&SYSTEM
  ibrav = 0, nat = 8, ntyp = 3
/
ATOMIC_SPECIES
In 114.82 In.upf
W 183.84 W.upf
Au 196.97 Au.upf
ATOMIC_POSITIONS crystal
In 0.0000 0.0000 0.0000
In 0.7500 0.2500 0.5000
W 0.2500 0.7500 0.5000
W 0.5000 0.5000 0.0000
Au 0.1315 0.6250 0.0065
Au 0.3750 0.3815 0.5065
Au 0.6185 0.1250 0.9935
Au 0.8750 0.8685 0.4935
CELL_PARAMETERS angstrom
-1.9861 1.9861 10.0353
1.9861 -1.9861 10.0353
1.9861 1.9861 -10.0353